#a
The following is a DFT calculation (GGA-PBE) of an optimized crystal structure of TaBNF2.

Magnetic moment ... 1.20 μB per cell

Cell lengths 4.491, 4.491, 2.668 Å; angles 90.00, 90.00, 90.00 degrees
Fractional positions:
Ta 0.000 0.000 0.000
B 0.500 0.500 0.500
N 0.500 0.500 0.000
F 0.000 0.500 0.500
F 0.500 0.000 0.500

=====

#b
The following is a DFT calculation (GGA-PBE) of an optimized crystal structure of TaBNF2.

Magnetic moment ... 0.76 μB per cell

Cell lengths 4.113, 4.113, 4.005 Å; angles 90.00, 90.00, 90.00 degrees
Fractional positions:
Ta 0.000 0.000 0.000
B 0.500 0.500 0.500
N 0.000 0.000 0.500
F 0.000 0.500 0.000
F 0.500 0.000 0.000

=====

Going by the energies, #a is most stable and the next is 12.2 kJ/mol of atoms up.

=====

#a
The following is a DFT calculation (GGA-PBE) of an optimized crystal structure of BTe2NF.

Magnetic moment ... 0.00 μB per cell

Cell lengths 4.828, 4.828, 3.844 Å; angles 90.00, 90.00, 90.00 degrees
Fractional positions:
B 0.000 0.000 0.000
Te 0.000 0.500 0.500
Te 0.500 0.000 0.500
N 0.500 0.500 0.000
F 0.500 0.500 0.500

=====

#b
The following is a DFT calculation (GGA-PBE) of an optimized crystal structure of BTe2NF.

Magnetic moment ... 0.00 μB per cell

Cell lengths 6.637, 6.637, 2.678 Å; angles 90.00, 90.00, 90.00 degrees
Fractional positions:
B 0.000 0.000 0.000
Te 0.000 0.500 0.000
Te 0.500 0.000 0.000
N 0.000 0.000 0.500
F 0.500 0.500 0.500

=====

Going by the energies, #b is most stable and the next is 165.7 kJ/mol of atoms up.

=====

#a
The following is a DFT calculation (GGA-PBE) of an optimized crystal structure of TlBN2F.

Magnetic moment ... 0.00 μB per cell

Cell lengths 3.280, 3.280, 5.861 Å; angles 90.00, 90.00, 90.00 degrees
Fractional positions:
Tl 0.000 0.000 0.000
B 0.500 0.500 0.500
N 0.000 0.500 0.500
N 0.500 0.000 0.500
F 0.500 0.500 0.000

=====

#b
The following is a DFT calculation (GGA-PBE) of an optimized crystal structure of TlBN2F.

Magnetic moment ... 2.71 μB per cell

Cell lengths 4.390, 4.390, 4.572 Å; angles 90.00, 90.00, 90.00 degrees
Fractional positions:
Tl 0.000 0.000 0.000
B 0.500 0.500 0.500
N 0.000 0.500 0.000
N 0.500 0.000 0.000
F 0.000 0.000 0.500

=====

Going by the energies, #a is most stable and the next is 152.1 kJ/mol of atoms up.